[1]
La2SiMo: optimized geometry, PBEsol.

Computed properties:
Density of states at the Fermi level = 4.51 states/eV/f.u.
Raw total energy = -6.7873 eV per atom
Raw formation energy = 0.2645 eV per atom

Cell lengths 4.419, 4.922, 8.592 Å; angles 90.00, 90.00, 90.00 degrees
Space group Cmmm (No. 65)
Symmetry-distinct sites (fractional):
La1 0.000 0.000 0.247 [4 per cell]
Si1 0.000 0.500 0.500 [2 per cell]
Mo1 0.000 0.500 0.000 [2 per cell]

***

[2]
RbHoO2: optimized geometry, PBEsol.

Computed properties:
Density of states at the Fermi level = 0.00 states/eV/f.u.
Raw total energy = -6.8898 eV per atom
Raw formation energy = -2.7713 eV per atom

Cell lengths 3.4409, 3.4409, 19.3305 Å; angles 90.00, 90.00, 120.00 degrees
Space group R-3m (No. 166, hexagonal axes)
Symmetry-distinct sites (fractional):
Rb1 0.0000 0.0000 0.0000 [3 per cell]
Ho1 0.0000 0.0000 0.5000 [3 per cell]
O1 0.0000 0.0000 0.2252 [6 per cell]

***

[3]
Li2PdPb: optimized geometry, PBEsol.

Computed properties:
Density of states at the Fermi level = 1.22 states/eV/f.u.
Energy of formation from the pure elements = -0.441 eV per atom
Raw total energy = -3.9133 eV per atom

Cell lengths 6.426, 6.426, 6.426 Å; angles 90.00, 90.00, 90.00 degrees
Space group F-43m (No. 216)
Symmetry-distinct sites (fractional):
Li1 0.000 0.000 0.000 [4 per cell]
Li2 0.250 0.250 0.250 [4 per cell]
Pd1 0.000 0.000 0.500 [4 per cell]
Pb1 0.250 0.250 0.750 [4 per cell]

***

[4]
NaDyTi2O6: optimized geometry, PBEsol.

Computed properties:
Density of states at the Fermi level = 0.00 states/eV/f.u.
Raw total energy = -8.5283 eV per atom
Raw formation energy = -3.0764 eV per atom

Cell lengths 7.547, 5.478, 5.266 Å; angles 90.00, 90.00, 90.00 degrees
Space group Pmn2_1 (No. 31)
Symmetry-distinct sites (fractional):
Na1 0.000 0.217 0.000 [2 per cell]
Dy1 0.000 0.678 0.479 [2 per cell]
Ti1 0.248 0.235 0.485 [4 per cell]
O1 0.000 0.273 0.572 [2 per cell]
O2 0.000 0.776 0.895 [2 per cell]
O3 0.198 0.943 0.305 [4 per cell]
O4 0.211 0.463 0.214 [4 per cell]

***

[5]
LuMnO3: optimized geometry, PBEsol.

Computed properties:
Density of states at the Fermi level = 0.74 states/eV/f.u.
Raw total energy = -8.7820 eV per atom
Raw formation energy = -2.7058 eV per atom

Cell lengths 5.546, 7.418, 5.126 Å; angles 90.00, 90.00, 90.00 degrees
Space group Pnma (No. 62)
Symmetry-distinct sites (fractional):
Lu1 0.079 0.250 0.023 [4 per cell]
Mn1 0.000 0.000 0.500 [4 per cell]
O1 0.044 0.750 0.377 [4 per cell]
O2 0.188 0.561 0.809 [8 per cell]

***

[6]
Mg2RhCl: optimized geometry, PBEsol.

Computed properties:
Density of states at the Fermi level = 1.88 states/eV/f.u.
Raw total energy = -3.5517 eV per atom
Raw formation energy = -0.1565 eV per atom
E above lowest polymorph = 0.086 eV per atom

Cell lengths 3.240, 5.070, 8.372 Å; angles 90.00, 90.00, 90.00 degrees
Space group Immm (No. 71)
Symmetry-distinct sites (fractional):
Mg1 0.000 0.000 0.239 [4 per cell]
Rh1 0.000 0.500 0.000 [2 per cell]
Cl1 0.000 0.500 0.500 [2 per cell]

***

[7]
Zr2AsC: optimized geometry, PBEsol.

Computed properties:
Density of states at the Fermi level = 2.02 states/eV/f.u.
Energy of formation from the pure elements = -0.405 eV per atom
Raw total energy = -8.6377 eV per atom

Cell lengths 5.728, 5.728, 9.943 Å; angles 90.00, 90.00, 90.00 degrees
Space group I-42d (No. 122)
Symmetry-distinct sites (fractional):
Zr1 0.180 0.750 0.125 [8 per cell]
As1 0.000 0.000 0.500 [4 per cell]
C1 0.000 0.000 0.000 [4 per cell]

***

[8]
In3Hg: optimized geometry, PBEsol.

Computed properties:
Density of states at the Fermi level = 1.92 states/eV/f.u.
Energy of formation from the pure elements = -0.003 eV per atom
Raw total energy = -2.3822 eV per atom

Cell lengths 6.4620, 6.4620, 10.8765 Å; angles 90.00, 90.00, 120.00 degrees
Space group P6_3/mmc (No. 194)
Symmetry-distinct sites (fractional):
In1 0.0000 0.5000 0.0000 [6 per cell]
In2 0.1656 0.3311 0.2500 [6 per cell]
Hg1 0.0000 0.0000 0.0000 [2 per cell]
Hg2 0.3333 0.6667 0.7500 [2 per cell]

***

[9]
CaTcPt2: optimized geometry, PBEsol.

Computed properties:
Density of states at the Fermi level = 4.23 states/eV/f.u.
Energy of formation from the pure elements = 0.080 eV per atom
Raw total energy = -6.7511 eV per atom
E above lowest polymorph = 0.326 eV per atom

Cell lengths 3.249, 3.249, 6.709 Å; angles 90.00, 90.00, 90.00 degrees
Space group P4mm (No. 99)
Symmetry-distinct sites (fractional):
Ca1 0.000 0.000 0.000 [1 per cell]
Tc1 0.500 0.500 0.681 [1 per cell]
Pt1 0.000 0.000 0.505 [1 per cell]
Pt2 0.500 0.500 0.276 [1 per cell]

***

[10]
BaMn3Si: optimized geometry, PBEsol.

Computed properties:
Density of states at the Fermi level = 4.36 states/eV/f.u.
Raw total energy = -5.0076 eV per atom
Raw formation energy = 2.4282 eV per atom

Cell lengths 4.946, 4.946, 4.946 Å; angles 90.00, 90.00, 90.00 degrees
Space group Pm-3m (No. 221)
Symmetry-distinct sites (fractional):
Ba1 0.000 0.000 0.000 [1 per cell]
Mn1 0.000 0.000 0.500 [3 per cell]
Si1 0.500 0.500 0.500 [1 per cell]

***

[11]
ZrReP2: optimized geometry, PBEsol.

Computed properties:
Density of states at the Fermi level = 3.40 states/eV/f.u.
Energy of formation from the pure elements = -0.290 eV per atom
Raw total energy = -8.7913 eV per atom

Cell lengths 3.0321, 3.0321, 23.1553 Å; angles 90.00, 90.00, 120.00 degrees
Space group R-3m (No. 166, hexagonal axes)
Symmetry-distinct sites (fractional):
Zr1 0.0000 0.0000 0.0000 [3 per cell]
Re1 0.0000 0.0000 0.5000 [3 per cell]
P1 0.0000 0.0000 0.2405 [6 per cell]

***

[12]
HfTi2CoH: optimized geometry, PBEsol.

Computed properties:
Density of states at the Fermi level = 6.74 states/eV/f.u.
Raw total energy = -7.7416 eV per atom

Cell lengths 4.130, 4.130, 3.729 Å; angles 90.00, 90.00, 90.00 degrees
Space group P4/mmm (No. 123)
Symmetry-distinct sites (fractional):
Hf1 0.000 0.000 0.000 [1 per cell]
Ti1 0.000 0.500 0.500 [2 per cell]
Co1 0.500 0.500 0.000 [1 per cell]
H1 0.500 0.500 0.500 [1 per cell]

***

[13]
BaMgNb2F: optimized geometry, PBEsol.

Computed properties:
Density of states at the Fermi level = 7.32 states/eV/f.u.
Raw total energy = -4.6847 eV per atom
Raw formation energy = 0.8025 eV per atom

Cell lengths 5.793, 5.793, 3.561 Å; angles 90.00, 90.00, 90.00 degrees
Space group P4/mmm (No. 123)
Symmetry-distinct sites (fractional):
Ba1 0.000 0.000 0.000 [1 per cell]
Mg1 0.500 0.500 0.500 [1 per cell]
Nb1 0.000 0.500 0.500 [2 per cell]
F1 0.500 0.500 0.000 [1 per cell]

***

[14]
La2GaCl: optimized geometry, PBEsol.

Computed properties:
Density of states at the Fermi level = 5.00 states/eV/f.u.
Raw total energy = -4.9275 eV per atom
Raw formation energy = -0.9174 eV per atom

Cell lengths 7.380, 7.380, 7.380 Å; angles 90.00, 90.00, 90.00 degrees
Space group Fm-3m (No. 225)
Symmetry-distinct sites (fractional):
La1 0.250 0.250 0.250 [8 per cell]
Ga1 0.000 0.000 0.000 [4 per cell]
Cl1 0.000 0.000 0.500 [4 per cell]

***

[15]
Co2SeBr: optimized geometry, PBEsol.

Computed properties:
Density of states at the Fermi level = 5.80 states/eV/f.u.
Raw total energy = -4.8650 eV per atom
Raw formation energy = 0.4336 eV per atom
E above lowest polymorph = 0.474 eV per atom

Cell lengths 3.046, 3.046, 6.255 Å; angles 90.00, 90.00, 90.00 degrees
Space group P4/mmm (No. 123)
Symmetry-distinct sites (fractional):
Co1 0.000 0.000 0.206 [2 per cell]
Se1 0.500 0.500 0.000 [1 per cell]
Br1 0.500 0.500 0.500 [1 per cell]

***

[16]
BeIr2Os: optimized geometry, PBEsol.

Computed properties:
Density of states at the Fermi level = 2.58 states/eV/f.u.
Energy of formation from the pure elements = 0.022 eV per atom
Raw total energy = -8.9435 eV per atom

Cell lengths 5.293, 7.405, 2.684 Å; angles 90.00, 90.00, 90.00 degrees
Space group Cmmm (No. 65)
Symmetry-distinct sites (fractional):
Be1 0.000 0.000 0.000 [2 per cell]
Ir1 0.250 0.250 0.500 [4 per cell]
Os1 0.000 0.500 0.000 [2 per cell]

***

[17]
Mg5Zn: optimized geometry, PBEsol.

Computed properties:
Density of states at the Fermi level = 2.36 states/eV/f.u.
Energy of formation from the pure elements = -0.013 eV per atom
Raw total energy = -1.7072 eV per atom

Cell lengths 3.153, 3.153, 12.578 Å; angles 90.00, 90.00, 90.00 degrees
Space group P4/mmm (No. 123)
Symmetry-distinct sites (fractional):
Mg1 0.000 0.000 0.000 [1 per cell]
Mg2 0.000 0.000 0.361 [2 per cell]
Mg3 0.500 0.500 0.179 [2 per cell]
Zn1 0.500 0.500 0.500 [1 per cell]

***

[18]
BMoAs2P: optimized geometry, PBEsol.

Computed properties:
Density of states at the Fermi level = 4.23 states/eV/f.u.
Energy of formation from the pure elements = 0.948 eV per atom
Raw total energy = -6.0094 eV per atom

Cell lengths 4.223, 4.223, 4.322 Å; angles 90.00, 90.00, 90.00 degrees
Space group P4/mmm (No. 123)
Symmetry-distinct sites (fractional):
B1 0.000 0.000 0.000 [1 per cell]
Mo1 0.000 0.000 0.500 [1 per cell]
As1 0.000 0.500 0.000 [2 per cell]
P1 0.500 0.500 0.500 [1 per cell]

***

[19]
TaTc2Mo: optimized geometry, PBEsol.

Computed properties:
Density of states at the Fermi level = 2.66 states/eV/f.u.
Energy of formation from the pure elements = -0.177 eV per atom
Raw total energy = -11.8895 eV per atom
E above lowest polymorph = 0.000 eV per atom

Cell lengths 3.114, 3.114, 6.255 Å; angles 90.00, 90.00, 90.00 degrees
Space group P4/mmm (No. 123)
Symmetry-distinct sites (fractional):
Ta1 0.000 0.000 0.000 [1 per cell]
Tc1 0.500 0.500 0.251 [2 per cell]
Mo1 0.000 0.000 0.500 [1 per cell]

***

[20]
LaInPO2: optimized geometry, PBEsol.

Computed properties:
Density of states at the Fermi level = 3.84 states/eV/f.u.
Raw total energy = -5.8574 eV per atom
Raw formation energy = -0.9335 eV per atom

Cell lengths 4.202, 4.202, 6.255 Å; angles 90.00, 90.00, 90.00 degrees
Space group P4/mmm (No. 123)
Symmetry-distinct sites (fractional):
La1 0.000 0.000 0.000 [1 per cell]
In1 0.500 0.500 0.500 [1 per cell]
P1 0.000 0.000 0.500 [1 per cell]
O1 0.000 0.500 0.000 [2 per cell]

***

[21]
RbTcAg3: optimized geometry, PBEsol.

Computed properties:
Density of states at the Fermi level = 3.95 states/eV/f.u.
Energy of formation from the pure elements = 2.323 eV per atom
Raw total energy = -2.1224 eV per atom
E above lowest polymorph = 1.232 eV per atom

Cell lengths 5.276, 5.276, 5.276 Å; angles 90.00, 90.00, 90.00 degrees
Space group Pm-3m (No. 221)
Symmetry-distinct sites (fractional):
Rb1 0.000 0.000 0.000 [1 per cell]
Tc1 0.500 0.500 0.500 [1 per cell]
Ag1 0.000 0.000 0.500 [3 per cell]

***

[22]
Sc2Se3O10: optimized geometry, PBEsol.

Computed properties:
Density of states at the Fermi level = 0.00 states/eV/f.u.
Raw total energy = -6.8627 eV per atom
Raw formation energy = -1.7124 eV per atom

Cell lengths 6.534, 10.899, 12.743 Å; angles 90.00, 103.66, 90.00 degrees
Space group P2_1/c (No. 14)
Symmetry-distinct sites (fractional):
Sc1 0.199 0.161 0.409 [4 per cell]
Sc2 0.269 0.709 0.537 [4 per cell]
Se1 0.139 0.648 0.780 [4 per cell]
Se2 0.287 0.103 0.045 [4 per cell]
Se3 0.319 0.530 0.150 [4 per cell]
O1 0.068 0.196 0.001 [4 per cell]
O2 0.081 0.509 0.818 [4 per cell]
O3 0.083 0.223 0.770 [4 per cell]
O4 0.124 0.633 0.087 [4 per cell]
O5 0.231 0.530 0.476 [4 per cell]
O6 0.280 0.726 0.883 [4 per cell]
O7 0.290 0.631 0.692 [4 per cell]
O8 0.312 0.075 0.552 [4 per cell]
O9 0.413 0.182 0.960 [4 per cell]
O10 0.488 0.132 0.366 [4 per cell]

***

[23]
CdAg2P: optimized geometry, PBEsol.

Computed properties:
Density of states at the Fermi level = 1.74 states/eV/f.u.
Energy of formation from the pure elements = 0.191 eV per atom
Raw total energy = -3.2116 eV per atom
E above lowest polymorph = 0.041 eV per atom

Cell lengths 4.088, 4.106, 8.206 Å; angles 90.00, 90.00, 90.00 degrees
Space group Cmm2 (No. 35)
Symmetry-distinct sites (fractional):
Cd1 0.000 0.000 0.000 [2 per cell]
Ag1 0.000 0.000 0.505 [2 per cell]
Ag2 0.000 0.500 0.256 [2 per cell]
P1 0.000 0.500 0.732 [2 per cell]

***

[24]
TiReSN2: optimized geometry, PBEsol.

Computed properties:
Density of states at the Fermi level = 3.39 states/eV/f.u.
Raw total energy = -7.7112 eV per atom
Raw formation energy = 0.9071 eV per atom

Cell lengths 3.787, 3.787, 4.788 Å; angles 90.00, 90.00, 90.00 degrees
Space group P4/mmm (No. 123)
Symmetry-distinct sites (fractional):
Ti1 0.000 0.000 0.000 [1 per cell]
Re1 0.500 0.500 0.500 [1 per cell]
S1 0.000 0.000 0.500 [1 per cell]
N1 0.000 0.500 0.000 [2 per cell]